Below is a relaxed AcLaPbAu crystal, with properties calculated at the PBE level.

Output
Energy relative to the elements = -0.62 eV per atom
Total DFT energy (no corrections) = -18.51 eV/cell
V = 31.5 Å³ per atom
Magnetic moment = 0.224 μB per atom

a = 5.6292 Å, b = 5.6292 Å, c = 5.6292 Å
α = 60.00°, β = 60.00°, γ = 60.00°
Last column: nearest neighbours and their distance in Å.
Element x y z (fractional)
Ac (0.0000, 0.0000, 0.0000)  4 Au 3.45, 4 Pb 3.45
La (0.5000, 0.5000, 0.5000)  4 Pb 3.45, 4 Au 3.45
Pb (0.2500, 0.2500, 0.2500)  4 Ac 3.45, 4 La 3.45
Au (0.7500, 0.7500, 0.7500)  4 Ac 3.45, 4 La 3.45